No. 1
An optimized crystal structure of V3HgIr, computed with PBE.

The value obtained for the total energy is -26.27 eV/cell. The calculation puts the calculated density at 8.01 g/cm3. Its size of the total moment is 7.2 μB per formula unit.

The space group is Pm-3m (No. 221) and the conventional cell measures 4.835, 4.835 and 4.835 Å, with angles of 90.00, 90.00 and 90.00 degrees. Symmetry generates all atoms from V at (0.000, 0.000, 0.500), Hg at (0.000, 0.000, 0.000) and Ir at (0.500, 0.500, 0.500).

No. 2
An optimized crystal structure of Ba2AgN2, computed with PBE.

The value obtained for the total energy is -46.96 eV/cell. The calculation puts the calculated density at 5.20 g/cm3. Its size of the total moment is 1.0 μB per formula unit.

The space group is I4/mmm (No. 139) and the conventional cell measures 5.624, 5.624 and 8.286 Å, with angles of 90.00, 90.00 and 90.00 degrees. Symmetry generates all atoms from Ba at (0.000, 0.500, 0.250), Ag at (0.000, 0.000, 0.000) and N at (0.000, 0.000, 0.426).

No. 3
An optimized crystal structure of ThSnAu, computed with PBE.

The value obtained for the total energy is -66.48 eV/cell. The calculation puts the calculated density at 12.07 g/cm3. Its size of the total moment is 0.0 μB per formula unit.

The space group is Imm2 (No. 44) and the conventional cell measures 4.773, 7.625 and 8.280 Å, with angles of 90.00, 90.00 and 90.00 degrees. Symmetry generates all atoms from Th at (0.000, 0.000, 0.000), Th at (0.000, 0.500, 0.041), Sn at (0.000, 0.264, 0.683) and Au at (0.000, 0.195, 0.351).

No. 4
An optimized crystal structure of ZrCdNiHg, computed with PBE.

The value obtained for the total energy is -63.60 eV/cell. The calculation puts the calculated density at 10.31 g/cm3. Its size of the total moment is 0.0 μB per formula unit.

The space group is F-43m (No. 216) and the conventional cell measures 6.682, 6.682 and 6.682 Å, with angles of 90.00, 90.00 and 90.00 degrees. Symmetry generates all atoms from Zr at (0.000, 0.000, 0.000), Cd at (0.000, 0.000, 0.500), Ni at (0.250, 0.250, 0.250) and Hg at (0.250, 0.250, 0.750).

No. 5
An optimized crystal structure of Pm2SnH, computed with PBE.

The value obtained for the total energy is -17.86 eV/cell. The calculation puts the calculated density at 7.49 g/cm3. Its size of the total moment is 0.0 μB per formula unit.

The space group is P4/mmm (No. 123) and the conventional cell measures 3.425, 3.425 and 7.742 Å, with angles of 90.00, 90.00 and 90.00 degrees. Symmetry generates all atoms from Pm at (0.000, 0.000, 0.218), Sn at (0.500, 0.500, 0.500) and H at (0.500, 0.500, 0.000).

No. 6
An optimized crystal structure of Pm2Zn12Cu3Pt, computed with PBE.

The value obtained for the total energy is -134.39 eV/cell. The calculation puts the calculated density at 7.50 g/cm3. Its size of the total moment is 0.0 μB per formula unit.

The space group is R-3m (No. 166, hexagonal axes) and the conventional cell measures 5.8127, 5.8127 and 33.1700 Å, with angles of 90.00, 90.00 and 120.00 degrees. Symmetry generates all atoms from Pm at (0.0000, 0.0000, 0.1405), Zn at (0.0055, 0.5028, 0.8916), Zn at (0.0357, 0.5178, 0.6151), Cu at (0.0000, 0.5000, 0.0000) and Pt at (0.0000, 0.0000, 0.5000).

No. 7
An optimized crystal structure of MnTlW, computed with PBE.

The value obtained for the total energy is -22.38 eV/cell. The calculation puts the calculated density at 13.40 g/cm3. Its size of the total moment is 0.2 μB per formula unit.

The space group is P3m1 (No. 156) and the conventional cell measures 3.1105, 3.1105 and 6.5556 Å, with angles of 90.00, 90.00 and 120.00 degrees. Symmetry generates all atoms from Mn at (0.0000, 0.0000, 0.0000), Tl at (0.3333, 0.6667, 0.3657) and W at (0.6667, 0.3333, 0.7691).

No. 8
An optimized crystal structure of SrHgTe, computed with PBE.

The value obtained for the total energy is -30.39 eV/cell. The calculation puts the calculated density at 5.63 g/cm3. Its size of the total moment is 0.0 μB per formula unit.

The space group is F-43m (No. 216) and the conventional cell measures 7.887, 7.887 and 7.887 Å, with angles of 90.00, 90.00 and 90.00 degrees. Symmetry generates all atoms from Sr at (0.000, 0.000, 0.000), Hg at (0.000, 0.000, 0.500) and Te at (0.250, 0.250, 0.250).